## a
NdDy3Ho6: relaxed, GGA-PBE.

Values from the calculation:
Its density of states at the Fermi level is 1.39 states/eV/atom. The space group is Cmc2_1 (36).

The structure in POSCAR format:
```
NdDy3Ho6
1.0
5.499 -9.447 0.000
5.499 9.447 0.000
0.000 0.000 6.173
Nd Dy Ho
2 6 12
Direct
0.207 0.793 0.500
0.793 0.207 0.000
0.064 0.282 0.305
0.282 0.064 0.805
0.391 0.609 0.418
0.609 0.391 0.918
0.718 0.936 0.305
0.936 0.718 0.805
0.038 0.459 0.712
0.047 0.953 0.262
0.285 0.715 0.987
0.288 0.382 0.878
0.382 0.288 0.378
0.459 0.038 0.212
0.541 0.962 0.712
0.618 0.712 0.878
0.712 0.618 0.378
0.715 0.285 0.487
0.953 0.047 0.762
0.962 0.541 0.212
```

---

## b
NdDy3Ho6: relaxed, GGA-PBE.

Values from the calculation:
Its density of states at the Fermi level is 2.09 states/eV/atom. The space group is R3 (146).

The structure in POSCAR format:
```
NdDy3Ho6
1.0
4.897 2.827 3.881
-4.897 2.827 3.881
0.000 -5.655 3.881
Nd Dy Ho
1 3 6
Direct
0.000 0.000 0.000
0.250 0.250 0.250
0.499 0.499 0.499
0.745 0.745 0.745
0.004 0.333 0.670
0.172 0.831 0.504
0.333 0.670 0.004
0.504 0.172 0.831
0.670 0.004 0.333
0.831 0.504 0.172
```

---

What should be chosen as the least stable of them? Choose b.

---

## a
Nd12DyHo7: relaxed, GGA-PBE.

Values from the calculation:
Its density of states at the Fermi level is 1.41 states/eV/atom. The space group is R-3 (148).

The structure in POSCAR format:
```
Nd12DyHo7
1.0
9.829 5.675 2.076
-9.829 5.675 2.076
0.000 -11.349 2.076
Nd Dy Ho
12 1 7
Direct
0.000 0.412 0.588
0.000 0.588 0.412
0.084 0.085 0.438
0.085 0.438 0.084
0.412 0.000 0.588
0.412 0.588 0.000
0.438 0.084 0.085
0.562 0.916 0.915
0.588 0.000 0.412
0.588 0.412 0.000
0.915 0.562 0.916
0.916 0.915 0.562
0.500 0.500 0.500
0.000 0.000 0.000
0.130 0.375 0.374
0.374 0.130 0.375
0.375 0.374 0.130
0.625 0.626 0.870
0.626 0.870 0.625
0.870 0.625 0.626
```

---

## b
Nd12DyHo7: relaxed, GGA-PBE.

Values from the calculation:
Its density of states at the Fermi level is 1.94 states/eV/atom. The space group is R-3 (148).

The structure in POSCAR format:
```
Nd12DyHo7
1.0
6.078 3.509 5.395
-6.078 3.509 5.395
0.000 -7.018 5.395
Nd Dy Ho
12 1 7
Direct
0.101 0.347 0.420
0.226 0.755 0.349
0.245 0.651 0.774
0.347 0.420 0.101
0.349 0.226 0.755
0.420 0.101 0.347
0.580 0.899 0.653
0.651 0.774 0.245
0.653 0.580 0.899
0.755 0.349 0.226
0.774 0.245 0.651
0.899 0.653 0.580
0.000 0.000 0.000
0.005 0.361 0.886
0.114 0.995 0.639
0.361 0.886 0.005
0.500 0.500 0.500
0.639 0.114 0.995
0.886 0.005 0.361
0.995 0.639 0.114
```

---

What should be chosen as the least stable of them? Choose a.

---

## a
NdDy5Ho2: relaxed, GGA-PBE.

Values from the calculation:
Its density of states at the Fermi level is 1.58 states/eV/atom. The space group is P2_1/m (11).

The structure in POSCAR format:
```
NdDy5Ho2
1.0
5.745 0.000 0.000
0.000 11.212 0.000
-2.376 0.000 8.142
Nd Dy Ho
2 10 4
Direct
0.001 0.250 0.346
0.999 0.750 0.654
0.164 0.076 0.710
0.164 0.424 0.710
0.269 0.750 0.082
0.303 0.076 0.120
0.303 0.424 0.120
0.697 0.576 0.880
0.697 0.924 0.880
0.731 0.250 0.918
0.836 0.576 0.290
0.836 0.924 0.290
0.389 0.617 0.464
0.389 0.883 0.464
0.611 0.117 0.536
0.611 0.383 0.536
```

---

## b
NdDy5Ho2: relaxed, GGA-PBE.

Values from the calculation:
Its density of states at the Fermi level is 1.20 states/eV/atom. The space group is Pbam (55).

The structure in POSCAR format:
```
NdDy5Ho2
1.0
7.115 0.000 0.000
0.000 14.231 0.000
0.000 0.000 5.014
Nd Dy Ho
2 10 4
Direct
0.000 0.000 0.000
0.500 0.500 0.000
0.000 0.251 0.000
0.000 0.500 0.000
0.000 0.749 0.000
0.249 0.374 0.500
0.251 0.874 0.500
0.500 0.000 0.000
0.500 0.249 0.000
0.500 0.751 0.000
0.749 0.126 0.500
0.751 0.626 0.500
0.250 0.126 0.500
0.250 0.626 0.500
0.750 0.374 0.500
0.750 0.874 0.500
```

---

What should be chosen as the least stable of them? Choose a.

---

## a
Nd7DyHo12: relaxed, GGA-PBE.

Values from the calculation:
Its density of states at the Fermi level is 1.41 states/eV/atom. The space group is Im-3m (229).

The structure in POSCAR format:
```
Nd7DyHo12
1.0
-5.647 5.647 5.647
5.647 -5.647 5.647
5.647 5.647 -5.647
Nd Dy Ho
7 1 12
Direct
0.000 0.000 0.500
0.000 0.500 0.000
0.000 0.500 0.500
0.500 0.000 0.000
0.500 0.000 0.500
0.500 0.500 0.000
0.500 0.500 0.500
0.000 0.000 0.000
0.000 0.246 0.754
0.000 0.754 0.246
0.246 0.000 0.754
0.246 0.246 0.492
0.246 0.492 0.246
0.246 0.754 0.000
0.492 0.246 0.246
0.508 0.754 0.754
0.754 0.000 0.246
0.754 0.246 0.000
0.754 0.508 0.754
0.754 0.754 0.508
```

---

## b
Nd7DyHo12: relaxed, GGA-PBE.

Values from the calculation:
Its density of states at the Fermi level is 1.82 states/eV/atom. The space group is R-3 (148).

The structure in POSCAR format:
```
Nd7DyHo12
1.0
5.987 3.457 5.418
-5.987 3.457 5.418
0.000 -6.914 5.418
Nd Dy Ho
7 1 12
Direct
0.000 0.000 0.000
0.101 0.420 0.345
0.345 0.101 0.420
0.420 0.345 0.101
0.580 0.655 0.899
0.655 0.899 0.580
0.899 0.580 0.655
0.500 0.500 0.500
0.003 0.883 0.365
0.117 0.635 0.997
0.227 0.355 0.752
0.248 0.773 0.645
0.355 0.752 0.227
0.365 0.003 0.883
0.635 0.997 0.117
0.645 0.248 0.773
0.752 0.227 0.355
0.773 0.645 0.248
0.883 0.365 0.003
0.997 0.117 0.635
```

---

What should be chosen as the least stable of them? Choose a.

---

## a
Nd3Dy5Ho2: relaxed, GGA-PBE.

Values from the calculation:
Its density of states at the Fermi level is 1.36 states/eV/atom. The space group is Ibam (72).

The structure in POSCAR format:
```
Nd3Dy5Ho2
1.0
-6.081 8.551 3.206
6.081 -8.551 3.206
6.081 8.551 -3.206
Nd Dy Ho
6 10 4
Direct
0.168 0.589 0.756
0.250 0.250 0.000
0.332 0.089 0.421
0.668 0.911 0.579
0.750 0.750 0.000
0.832 0.411 0.244
0.167 0.237 0.405
0.250 0.502 0.252
0.250 0.750 0.500
0.250 0.998 0.748
0.333 0.737 0.070
0.667 0.263 0.930
0.750 0.002 0.252
0.750 0.250 0.500
0.750 0.498 0.748
0.833 0.763 0.595
0.168 0.905 0.074
0.332 0.405 0.737
0.668 0.595 0.263
0.832 0.095 0.926
```

---

## b
Nd3Dy5Ho2: relaxed, GGA-PBE.

Values from the calculation:
Its density of states at the Fermi level is 1.77 states/eV/atom. The space group is C2/c (15).

The structure in POSCAR format:
```
Nd3Dy5Ho2
1.0
5.364 -7.994 0.000
5.364 7.994 0.000
-5.340 0.000 7.768
Nd Dy Ho
6 10 4
Direct
0.019 0.268 0.045
0.234 0.766 0.750
0.268 0.019 0.545
0.732 0.981 0.455
0.766 0.234 0.250
0.981 0.732 0.955
0.027 0.973 0.750
0.150 0.375 0.773
0.272 0.728 0.250
0.375 0.150 0.273
0.470 0.530 0.250
0.530 0.470 0.750
0.625 0.850 0.727
0.728 0.272 0.750
0.850 0.625 0.227
0.973 0.027 0.250
0.230 0.464 0.453
0.464 0.230 0.953
0.536 0.770 0.047
0.770 0.536 0.547
```

---

What should be chosen as the least stable of them? Choose a.

---

## a
Nd6Dy2Ho: relaxed, GGA-PBE.

Values from the calculation:
Its density of states at the Fermi level is 1.37 states/eV/atom. The space group is Cmmm (65).

The structure in POSCAR format:
```
Nd6Dy2Ho
1.0
4.719 -8.880 0.000
4.719 8.880 0.000
0.000 0.000 3.667
Nd Dy Ho
6 2 1
Direct
0.010 0.341 0.000
0.184 0.184 0.500
0.341 0.010 0.000
0.659 0.990 0.000
0.816 0.816 0.500
0.990 0.659 0.000
0.324 0.676 0.500
0.676 0.324 0.500
0.500 0.500 0.000
```

---

## b
Nd6Dy2Ho: relaxed, GGA-PBE.

Values from the calculation:
Its density of states at the Fermi level is 1.58 states/eV/atom. The space group is C2/c (15).

The structure in POSCAR format:
```
Nd6Dy2Ho
1.0
6.329 -7.452 0.000
6.329 7.452 0.000
-1.751 0.000 6.512
Nd Dy Ho
12 4 2
Direct
0.043 0.426 0.700
0.140 0.768 0.981
0.232 0.860 0.519
0.263 0.460 0.182
0.426 0.043 0.200
0.460 0.263 0.682
0.540 0.737 0.318
0.574 0.957 0.800
0.737 0.540 0.818
0.768 0.140 0.481
0.860 0.232 0.019
0.957 0.574 0.300
0.123 0.160 0.361
0.160 0.123 0.861
0.840 0.877 0.139
0.877 0.840 0.639
0.392 0.608 0.750
0.608 0.392 0.250
```

---

What should be chosen as the least stable of them? Choose a.

---

## a
Nd7Dy2Ho2: relaxed, GGA-PBE.

Values from the calculation:
Its density of states at the Fermi level is 1.47 states/eV/atom. The space group is C2/m (12).

The structure in POSCAR format:
```
Nd7Dy2Ho2
1.0
4.308 -5.494 0.000
4.308 5.494 0.000
-1.942 0.000 8.020
Nd Dy Ho
7 2 2
Direct
0.000 0.000 0.000
0.091 0.515 0.829
0.199 0.199 0.484
0.485 0.909 0.171
0.515 0.091 0.829
0.801 0.801 0.516
0.909 0.485 0.171
0.415 0.415 0.179
0.585 0.585 0.821
0.288 0.712 0.500
0.712 0.288 0.500
```

---

## b
Nd7Dy2Ho2: relaxed, GGA-PBE.

Values from the calculation:
Its density of states at the Fermi level is 1.44 states/eV/atom. The space group is C2/m (12).

The structure in POSCAR format:
```
Nd7Dy2Ho2
1.0
5.726 -5.780 0.000
5.726 5.780 0.000
-2.299 0.000 5.689
Nd Dy Ho
7 2 2
Direct
0.000 0.000 0.000
0.051 0.587 0.820
0.413 0.949 0.180
0.423 0.423 0.199
0.577 0.577 0.801
0.587 0.051 0.820
0.949 0.413 0.180
0.215 0.785 0.500
0.785 0.215 0.500
0.228 0.228 0.588
0.772 0.772 0.412
```

---

What should be chosen as the least stable of them? Choose b.

---

## a
Nd3DyHo6: relaxed, GGA-PBE.

Values from the calculation:
Its density of states at the Fermi level is 1.78 states/eV/atom. The space group is C2/m (12).

The structure in POSCAR format:
```
Nd3DyHo6
1.0
5.769 -3.285 0.000
5.769 3.285 0.000
-4.031 0.000 8.799
Nd Dy Ho
3 1 6
Direct
0.000 0.000 0.000
0.070 0.070 0.699
0.930 0.930 0.301
0.500 0.500 0.500
0.067 0.560 0.688
0.363 0.363 0.079
0.440 0.933 0.312
0.560 0.067 0.688
0.637 0.637 0.921
0.933 0.440 0.312
```

---

## b
Nd3DyHo6: relaxed, GGA-PBE.

Values from the calculation:
Its density of states at the Fermi level is 1.36 states/eV/atom. The space group is Cmc2_1 (36).

The structure in POSCAR format:
```
Nd3DyHo6
1.0
5.479 -9.439 0.000
5.479 9.439 0.000
0.000 0.000 6.335
Nd Dy Ho
6 2 12
Direct
0.112 0.888 0.500
0.211 0.437 0.107
0.437 0.211 0.607
0.563 0.789 0.107
0.789 0.563 0.607
0.888 0.112 0.000
0.304 0.696 0.438
0.696 0.304 0.938
0.030 0.450 0.699
0.121 0.213 0.523
0.213 0.121 0.023
0.228 0.772 0.921
0.450 0.030 0.199
0.460 0.540 0.696
0.540 0.460 0.196
0.550 0.970 0.699
0.772 0.228 0.421
0.787 0.879 0.523
0.879 0.787 0.023
0.970 0.550 0.199
```

---

What should be chosen as the least stable of them? Choose a.